A plane-wave DFT calculation with PBE with a Hubbard U was carried out for a geometry-optimized CsErCoO3 structure.

## Properties
crystal system: monoclinic
volume: 19.9 Å³/atom
VASP energy: -73.80 eV/cell

```
data_CsErCoO3
_chemical_formula_sum 'Cs2 Er2 Co2 O6'
_cell_length_a 7.995
_cell_length_b 3.613
_cell_length_c 9.118
_cell_angle_alpha 90.00
_cell_angle_beta 114.99
_cell_angle_gamma 90.00
_symmetry_space_group_name_H-M 'P 1 21/m 1'
_symmetry_Int_Tables_number 11
loop_
_symmetry_equiv_pos_as_xyz
'x,y,z'
'-x,-y,-z'
'-x,y+1/2,-z'
'x,-y+1/2,z'
loop_
_atom_site_label
_atom_site_type_symbol
_atom_site_fract_x
_atom_site_fract_y
_atom_site_fract_z
Cs1 Cs 0.219 0.250 0.212
Er1 Er 0.328 0.750 0.862
Co1 Co 0.033 0.250 0.626
O1 O 0.075 0.750 0.608
O2 O 0.136 0.250 0.851
O3 O 0.486 0.750 0.125
```